The following is a PBE-GGA calculation of a relaxed structure of CdSiPt, from Alexandria.

Output
Formation energy without anion corrections, eV per atom: -0.449
E, eV per atom: -4.575
Calculated volume, Å³/f.u.: 56.8

abc: 4.237 4.237 6.330
angles: 90.00 90.00 90.00
Sites, in units of the cell vectors:
Cd 0.250 0.750 0.000
Cd 0.750 0.250 0.000
Si 0.250 0.750 0.500
Si 0.750 0.250 0.500
Pt 0.250 0.250 0.312
Pt 0.750 0.750 0.688


The following is a PBE-GGA calculation of a relaxed structure of Ca2SbCl, from Alexandria.

Output
Formation energy without anion corrections, eV per atom: -1.261
E, eV per atom: -3.754
Calculated volume, Å³/f.u.: 109.5

abc: 5.408 5.408 3.743
angles: 90.00 90.00 90.00
Sites, in units of the cell vectors:
Ca 0.000 0.500 0.000
Ca 0.500 0.000 0.000
Sb 0.000 0.000 0.500
Cl 0.500 0.500 0.500


The following is a PBE-GGA calculation of a relaxed structure of AlAg2Br, from Alexandria.

Output
Formation energy without anion corrections, eV per atom: 0.138
E, eV per atom: -2.642
Calculated volume, Å³/f.u.: 82.3

abc: 4.738 3.264 5.571
angles: 90.00 107.18 90.00
Sites, in units of the cell vectors:
Al 0.000 0.000 0.000
Ag 0.500 0.000 0.500
Ag 0.500 0.500 0.000
Br 0.000 0.500 0.500


The following is a PBE-GGA calculation of a relaxed structure of Tc2AgMo, from Alexandria.

Output
E, eV per atom: -8.295
Energy relative to the elements, eV/atom: 0.308
Calculated volume, Å³/f.u.: 63.3

abc: 2.699 2.699 9.231
angles: 90.00 90.00 109.66
Sites, in units of the cell vectors:
Tc 0.000 0.000 0.234
Tc 0.000 0.000 0.766
Ag 0.500 0.500 0.500
Mo 0.500 0.500 0.000


The following is a PBE-GGA calculation of a relaxed structure of AlTe2Cl, from Alexandria.

Output
Formation energy without anion corrections, eV per atom: -0.194
E, eV per atom: -3.163
Calculated volume, Å³/f.u.: 110.4

abc: 5.969 5.969 5.405
angles: 101.77 101.77 35.93
Sites, in units of the cell vectors:
Al 0.000 0.000 0.000
Te 0.316 0.316 0.839
Te 0.684 0.684 0.161
Cl 0.500 0.500 0.500


The following is a PBE-GGA calculation of a relaxed structure of Pr4HoEr7, from Alexandria.

Output
E, eV per atom: -4.353
Energy relative to the elements, eV/atom: 0.283
Calculated volume, Å³/f.u.: 405.9

abc: 6.708 6.708 12.832
angles: 114.12 114.12 52.13
Sites, in units of the cell vectors:
Pr 0.086 0.086 0.296
Pr 0.362 0.362 0.224
Pr 0.638 0.638 0.776
Pr 0.914 0.914 0.704
Ho 0.500 0.500 0.000
Er 0.000 0.000 0.000
Er 0.173 0.173 0.635
Er 0.210 0.210 0.919
Er 0.369 0.369 0.512
Er 0.631 0.631 0.488
Er 0.790 0.790 0.081
Er 0.827 0.827 0.365


The following is a PBE-GGA calculation of a relaxed structure of RbYAs3, from Alexandria.

Output
E, eV per atom: -3.231
Energy relative to the elements, eV/atom: 1.045
Calculated volume, Å³/f.u.: 154.0

abc: 5.360 5.360 5.360
angles: 90.00 90.00 90.00
Sites, in units of the cell vectors:
Rb 0.000 0.000 0.000
Y 0.500 0.500 0.500
As 0.000 0.000 0.500
As 0.000 0.500 0.000
As 0.500 0.000 0.000


The following is a PBE-GGA calculation of a relaxed structure of NaCaCdPt, from Alexandria.

Output
E, eV per atom: -2.989
Energy relative to the elements, eV/atom: -0.420
Calculated volume, Å³/f.u.: 86.7

abc: 4.968 4.968 4.968
angles: 60.00 60.00 60.00
Sites, in units of the cell vectors:
Na 0.000 0.000 0.000
Ca 0.750 0.750 0.750
Cd 0.250 0.250 0.250
Pt 0.500 0.500 0.500


The following is a PBE-GGA calculation of a relaxed structure of Rb2NaAu, from Alexandria.

Output
E, eV per atom: -1.789
Energy relative to the elements, eV/atom: -0.156
Calculated volume, Å³/f.u.: 200.3

abc: 5.168 5.168 9.150
angles: 106.36 106.36 60.07
Sites, in units of the cell vectors:
Rb 0.000 0.000 0.000
Rb 0.182 0.182 0.547
Na 0.758 0.758 0.274
Au 0.423 0.423 0.271